(1)
The following is a PBE calculation of GeSb2PtI after structural relaxation, from Alexandria via LeMat-Bulk.

The structure in extended XYZ format:
```
5
Lattice="-1.8898 1.8255 4.5339 -3.7363 -3.6735 -0.0783 3.3379 -3.4542 2.7820" Properties=species:S:1:pos:R:3 pbc="T T T"
I 1.6689 -1.7271 1.3910
Sb -1.8681 -1.8367 -0.0391
Sb -0.9449 0.9127 2.2670
Ge -1.1441 -2.6511 3.6188
Pt 0.0000 0.0000 0.0000
```

Results
Volume = 152.4 Å³ per cell
Formation energy from raw total energies = 0.5364 eV/atom
Symmetry = P4/mmm, No. 123
Magnetization = 0.000 Bohr magnetons per cell
Energy above the lowest structure with this stoichiometry = 0 meV per atom

(2)
The following is a PBE calculation of BeAuCl2 after structural relaxation, from Alexandria via LeMat-Bulk.

The structure in extended XYZ format:
```
4
Lattice="-0.1123 -2.0220 2.3111 3.6507 2.7422 2.5767 -3.1755 4.2168 3.5349" Properties=species:S:1:pos:R:3 pbc="T T T"
Be 1.0085 4.2018 5.7680
Au 0.3306 3.8090 3.3486
Cl 0.3959 6.1254 5.3784
Cl -0.6593 1.2393 3.0951
```

Results
Volume = 98.5 Å³ per cell
Formation energy from raw total energies = -0.5538 eV/atom
Symmetry = Pm, No. 6
Magnetization = 0.000 Bohr magnetons per cell
Energy above the lowest structure with this stoichiometry = 82 meV per atom

(3)
The following is a PBE calculation of Ti3MoRh after structural relaxation, from Alexandria via LeMat-Bulk.

The structure in extended XYZ format:
```
5
Lattice="4.6220 0.0000 0.0000 0.0000 4.6220 0.0000 0.0000 0.0000 4.6220" Properties=species:S:1:pos:R:3 pbc="T T T"
Mo 2.3110 2.3110 2.3110
Rh 0.0000 0.0000 0.0000
Ti 0.0000 2.3110 0.0000
Ti 0.0000 0.0000 2.3110
Ti 2.3110 0.0000 0.0000
```

Results
Volume = 98.7 Å³ per cell
Formation energy = 0.73 eV per atom
Symmetry = Pm-3m, No. 221
Magnetization = 0.000 Bohr magnetons per cell
Energy above the lowest structure with this stoichiometry = 1164 meV per atom

(4)
The following is a PBE calculation of GdCu4Pd after structural relaxation, from Alexandria via LeMat-Bulk.

The structure in extended XYZ format:
```
6
Lattice="-1.3470 -0.7489 4.7877 3.3063 -1.9112 3.2732 1.9088 2.9070 3.6337" Properties=species:S:1:pos:R:3 pbc="T T T"
Gd 0.9670 0.0617 2.9237
Cu 2.4216 0.1545 7.3216
Cu 1.4591 -1.3113 5.4893
Cu 0.7544 1.1183 5.6711
Cu 3.1008 0.5322 4.9073
Pd 0.0000 0.0000 0.0000
```

Results
Volume = 90.0 Å³ per cell
Formation energy = -0.33 eV per atom
Symmetry = F-43m, No. 216
Magnetization = 7.349 Bohr magnetons per cell
Energy above the lowest structure with this stoichiometry = 0 meV per atom

(5)
The following is a PBE calculation of LiNb2PdRh after structural relaxation, from Alexandria via LeMat-Bulk.

The structure in extended XYZ format:
```
5
Lattice="-1.4448 3.9099 -1.2406 -3.1778 -1.7849 -1.9246 -2.3629 0.2819 3.6402" Properties=species:S:1:pos:R:3 pbc="T T T"
Nb -1.1815 0.1409 1.8201
Nb -0.7224 1.9550 -0.6203
Rh -3.4928 1.2034 0.2375
Pd -1.5889 -0.8925 -0.9623
Li 0.0000 0.0000 0.0000
```

Results
Volume = 78.0 Å³ per cell
Formation energy = 0.66 eV per atom
Symmetry = P4/mmm, No. 123
Magnetization = 0.000 Bohr magnetons per cell

(6)
The following is a PBE calculation of Ca3Ta after structural relaxation, from Alexandria via LeMat-Bulk.

The structure in extended XYZ format:
```
4
Lattice="3.4410 0.0000 0.0000 -1.7205 2.9800 0.0000 0.0000 0.0000 11.8554" Properties=species:S:1:pos:R:3 pbc="T T T"
Ca 0.0000 0.0000 11.4441
Ca 0.0000 0.0000 6.3390
Ca 1.7205 0.9933 2.9639
Ta 1.7205 0.9933 8.8916
```

Results
Volume = 121.6 Å³ per cell
Formation energy = 0.57 eV per atom
Symmetry = P-6m2, No. 187
Magnetization = 0.000 Bohr magnetons per cell
Energy above the lowest structure with this stoichiometry = 11 meV per atom

(7)
The following is a PBE calculation of ZrBiPb after structural relaxation, from Alexandria via LeMat-Bulk.

The structure in extended XYZ format:
```
6
Lattice="-0.9708 -2.9333 -2.4914 2.7310 -4.0504 3.7026 -6.1002 1.7225 3.4895" Properties=species:S:1:pos:R:3 pbc="T T T"
Zr -2.7235 0.3564 1.9429
Zr 0.1963 -1.8466 0.2638
Bi -2.7636 -4.3925 4.3855
Bi -4.1035 -2.3587 2.5217
Pb -1.7242 -4.4448 0.8926
Pb 0.9572 -4.0295 2.5255
```

Results
Volume = 164.0 Å³ per cell
Formation energy = -0.10 eV per atom
Symmetry = P-1, No. 2
Magnetization = 0.000 Bohr magnetons per cell
Energy above the lowest structure with this stoichiometry = 79 meV per atom

(8)
The following is a PBE calculation of CuPbSe2 after structural relaxation, from Alexandria via LeMat-Bulk.

The structure in extended XYZ format:
```
4
Lattice="7.8653 0.3845 0.0859 6.8342 3.9121 0.0859 1.9411 0.5674 3.8155" Properties=species:S:1:pos:R:3 pbc="T T T"
Cu 9.5050 2.7782 2.4446
Pb 12.9978 3.7992 2.6604
Se 15.7428 4.6015 3.5612
Se 3.3562 0.9810 1.3022
```

Results
Volume = 106.7 Å³ per cell
Formation energy from raw total energies = -0.2060 eV/atom
Symmetry = Cm, No. 8
Magnetization = 0.000 Bohr magnetons per cell

- Among the records above, which one has the highest magnetization?
  GdCu4Pd